No. 1
Density functional theory data (PBE) for crystalline PmHo2In9 at its relaxed geometry.

Output
ρ = 8.291 g/cm³
Crystal system = tetragonal
Raw total energy = -3.6348 eV per atom
Energy of formation = -489 kJ/mol of formula units

Lattice parameters (Å, degrees): 4.654 4.654 13.946 90.00 90.00 90.00
Element x y z (fractional)
Pm (0.000, 0.000, 0.000)
Ho (0.000, 0.000, 0.335)
Ho (0.000, 0.000, 0.665)
In (0.500, 0.500, 0.000)
In (0.500, 0.500, 0.334)
In (0.500, 0.500, 0.666)
In (0.500, 0.000, 0.170)
In (0.500, 0.000, 0.500)
In (0.500, 0.000, 0.830)
In (0.000, 0.500, 0.170)
In (0.000, 0.500, 0.500)
In (0.000, 0.500, 0.830)

=====

No. 2
Density functional theory data (PBE) for crystalline CsBF2 at its relaxed geometry.

Output
ρ = 3.348 g/cm³
Crystal system = tetragonal
Raw total energy = -3.7209 eV per atom
Polymorph energy (0 for the lowest one) = 2.494 kcal/mol of atoms
Uncorrected formation energy = -3.6 eV/f.u.

Lattice parameters (Å, degrees): 5.650 5.650 6.917 65.89 65.89 90.00
Element x y z (fractional)
Cs (0.000, 0.000, 0.000)
Cs (0.750, 0.250, 0.500)
B (0.500, 0.500, 0.000)
B (0.250, 0.750, 0.500)
F (0.482, 0.125, 0.250)
F (0.268, 0.625, 0.250)
F (0.375, 0.518, 0.750)
F (0.875, 0.732, 0.750)

=====

Which value of raw total energy does entry 2 give? -3.7209 eV per atom

=====

Among the records above, which one has the lowest ρ? CsBF2

=====

Please write out number 1 again, unchanged.
Density functional theory data (PBE) for crystalline PmHo2In9 at its relaxed geometry.

Output
ρ = 8.291 g/cm³
Crystal system = tetragonal
Raw total energy = -3.6348 eV per atom
Energy of formation = -489 kJ/mol of formula units

Lattice parameters (Å, degrees): 4.654 4.654 13.946 90.00 90.00 90.00
Element x y z (fractional)
Pm (0.000, 0.000, 0.000)
Ho (0.000, 0.000, 0.335)
Ho (0.000, 0.000, 0.665)
In (0.500, 0.500, 0.000)
In (0.500, 0.500, 0.334)
In (0.500, 0.500, 0.666)
In (0.500, 0.000, 0.170)
In (0.500, 0.000, 0.500)
In (0.500, 0.000, 0.830)
In (0.000, 0.500, 0.170)
In (0.000, 0.500, 0.500)
In (0.000, 0.500, 0.830)

=====

Please write out number 1 again, unchanged.
Density functional theory data (PBE) for crystalline PmHo2In9 at its relaxed geometry.

Output
ρ = 8.291 g/cm³
Crystal system = tetragonal
Raw total energy = -3.6348 eV per atom
Energy of formation = -489 kJ/mol of formula units

Lattice parameters (Å, degrees): 4.654 4.654 13.946 90.00 90.00 90.00
Element x y z (fractional)
Pm (0.000, 0.000, 0.000)
Ho (0.000, 0.000, 0.335)
Ho (0.000, 0.000, 0.665)
In (0.500, 0.500, 0.000)
In (0.500, 0.500, 0.334)
In (0.500, 0.500, 0.666)
In (0.500, 0.000, 0.170)
In (0.500, 0.000, 0.500)
In (0.500, 0.000, 0.830)
In (0.000, 0.500, 0.170)
In (0.000, 0.500, 0.500)
In (0.000, 0.500, 0.830)